A plane-wave DFT calculation with PBE+U was carried out for a relaxed structure of Fe2HgB2O6.

Properties
* theoretical density: 5.40 g/cm3
* raw total energy: -6.5792 eV per atom

Cell lengths 5.584, 5.143, 5.776 Å; angles 113.88, 87.66, 64.45 degrees
Last column: magnetic moment on the atom in μB.
Sites, in units of the cell vectors:
Fe1 0.848 0.380 0.768  3.76
Fe2 0.152 0.620 0.232  3.76
Hg1 0.500 0.000 0.500  0.01
B1 0.242 0.702 0.756  0.01
B2 0.758 0.298 0.244  0.01
O1 0.484 0.700 0.779  0.03
O2 0.808 0.530 0.198  0.04
O3 0.044 0.901 0.682  0.05
O4 0.192 0.470 0.802  0.04
O5 0.956 0.099 0.318  0.05
O6 0.516 0.300 0.221  0.03